Record 1
Material: Sr2AlIn4Ga3
Method: DFT, GGA-PBE
State: relaxed

Output
Energy of formation from the pure elements (eV/atom): -0.2887
N(E_F) (states/eV/cell): 3.6

Cell and atoms, written as POSCAR:
```
Sr2AlIn4Ga3
1.0
4.699 0.000 0.000
0.000 4.699 0.000
0.000 0.000 11.702
Sr Al In Ga
2 1 4 3
Cartesian
2.349 0.000 2.943 Sr
0.000 2.349 8.759 Sr
2.349 2.349 5.851 Al
2.349 2.349 0.000 In
0.000 0.000 0.000 In
2.349 0.000 7.404 In
0.000 2.349 4.298 In
0.000 0.000 5.851 Ga
2.349 0.000 10.101 Ga
0.000 2.349 1.601 Ga
```

=====

Record 2
Material: CsAu3Se
Method: DFT, GGA-PBE
State: relaxed

Output
N(E_F) (states/eV/cell): 1.3
Uncorrected formation energy (eV/atom): -0.03
Excess energy over the best structure of this formula in the dataset (meV/atom): 0

Cell and atoms, written as POSCAR:
```
CsAu3Se
1.0
5.313 0.000 0.000
0.000 5.313 0.000
0.000 0.000 5.313
Cs Au Se
1 3 1
Cartesian
2.656 2.656 2.656 Cs
0.000 2.656 0.000 Au
0.000 0.000 2.656 Au
2.656 0.000 0.000 Au
0.000 0.000 0.000 Se
```

=====

Record 3
Material: CeTeBr
Method: DFT, GGA-PBE
State: relaxed

Output
N(E_F) (states/eV/cell): 8.4
Uncorrected formation energy (eV/atom): -1.45
Excess energy over the best structure of this formula in the dataset (meV/atom): 87

Cell and atoms, written as POSCAR:
```
CeTeBr
1.0
5.279 0.000 0.000
2.639 4.571 0.000
2.639 1.524 4.310
Te Br Ce
1 1 1
Cartesian
0.000 0.000 0.000 Te
5.279 3.048 2.155 Br
2.639 1.524 1.077 Ce
```

=====

Record 4
Material: Pr3CuPt
Method: DFT, GGA-PBE
State: relaxed

Output
Energy of formation from the pure elements (eV/atom): -0.4710
N(E_F) (states/eV/cell): 10.2
Excess energy over the best structure of this formula in the dataset (meV/atom): 39

Cell and atoms, written as POSCAR:
```
Pr3CuPt
1.0
4.044 0.001 0.001
-2.020 8.149 0.537
0.003 0.238 8.354
Pr Cu Pt
6 2 2
Cartesian
-0.066 1.629 3.369 Pr
-0.063 7.326 5.925 Pr
1.958 2.419 6.570 Pr
1.957 7.877 0.772 Pr
-0.065 4.299 0.553 Pr
1.956 5.207 3.589 Pr
-0.064 4.311 5.726 Cu
1.960 5.434 6.773 Cu
-0.065 7.363 2.923 Pt
1.956 2.143 1.218 Pt
```

=====

Record 5
Material: TePPd2Pb
Method: DFT, GGA-PBE
State: relaxed

Output
N(E_F) (states/eV/cell): 4.7
Uncorrected formation energy (eV/atom): 0.73
Excess energy over the best structure of this formula in the dataset (meV/atom): 295

Cell and atoms, written as POSCAR:
```
TePPd2Pb
1.0
4.929 0.000 0.000
0.000 6.097 0.000
0.000 0.000 4.929
Pb P Te Pd
1 1 1 2
Cartesian
0.000 3.049 0.000 Pb
2.464 3.049 2.464 P
0.000 0.000 0.000 Te
0.000 0.000 2.464 Pd
2.464 0.000 0.000 Pd
```

=====

Record 6
Material: YbInBr3
Method: DFT, GGA-PBE
State: relaxed

Output
N(E_F) (states/eV/cell): 0.0
Uncorrected formation energy (eV/atom): -1.52

Cell and atoms, written as POSCAR:
```
YbInBr3
1.0
-0.464 3.125 2.868
4.602 -5.050 3.074
8.573 5.204 -4.285
Yb Br In
2 6 2
Cartesian
-0.232 1.562 1.434 Yb
4.055 4.165 -0.709 Yb
6.865 1.354 2.808 Br
5.846 1.925 -1.152 Br
9.325 4.037 -2.891 Br
3.386 -0.758 4.547 Br
10.219 0.878 0.694 Br
2.492 2.400 0.962 Br
8.523 3.608 0.616 In
4.188 -0.329 1.040 In
```

=====

Record 7
Material: CaTi3Tl
Method: DFT, GGA-PBE
State: relaxed

Output
Energy of formation from the pure elements (eV/atom): 1.0365
N(E_F) (states/eV/cell): 8.3
Excess energy over the best structure of this formula in the dataset (meV/atom): 0

Cell and atoms, written as POSCAR:
```
CaTi3Tl
1.0
-3.983 -2.898 1.717
-1.620 -0.683 -4.911
2.953 -4.283 -0.379
Tl Ca Ti
1 1 3
Cartesian
0.000 0.000 0.000 Tl
-1.325 -3.932 -1.787 Ca
-0.810 -0.341 -2.456 Ti
1.477 -2.142 -0.189 Ti
-1.992 -1.449 0.858 Ti
```

=====

Record 8
Material: CaLaGaRh2
Method: DFT, GGA-PBE
State: relaxed

Output
Energy of formation from the pure elements (eV/atom): 0.4044
N(E_F) (states/eV/cell): 3.9

Cell and atoms, written as POSCAR:
```
CaLaGaRh2
1.0
-3.887 1.952 2.242
-2.676 -4.320 -0.877
1.546 -1.825 4.269
Ca Rh Ga La
1 2 1 1
Cartesian
0.000 0.000 0.000 Ca
0.773 -0.912 2.135 Rh
-1.943 0.976 1.121 Rh
-1.338 -2.160 -0.439 Ga
-2.509 -2.096 2.817 La
```